## YNp2O6 (GGA-PBE)

Data for an optimized crystal structure of YNp2O6.

Cell: 3.8275 3.8275 9.1705 Å, 90.00 90.00 120.00°
Site moments in Bohr magnetons follow the coordinates.
Positions (direct):
Y: 0.0000 0.0000 0.0000  0.00
Np: 0.3333 0.6667 0.6684  2.70
Np: 0.6667 0.3333 0.3316  2.70
O: 0.0000 0.0000 0.2636  -0.09
O: 0.3333 0.6667 0.9042  -0.04
O: 0.6667 0.3333 0.5811  -0.10
O: 0.6667 0.3333 0.0958  -0.04
O: 0.0000 0.0000 0.7364  -0.09
O: 0.3333 0.6667 0.4189  -0.10

## Properties
VASP energy (eV per formula unit): -91.00
Formation energy (no corrections) (eV/f.u.): -28.90
Symmetry: P-3m1, No. 164